Record 1
{
  "formula": "MgScRu2C",
  "functional": "GGA-PBE",
  "state": "optimized geometry",
  "dos_ef_per_ev_cell": 2.45,
  "formation_enthalpy_0k_ev_per_atom": -0.1044,
  "relative_energy_ev_per_fu": 0.42,
  "cell": [[4.146, 0.000, 0.000], [0.000, 4.146, 0.000], [0.000, 0.000, 4.168]],
  "species": ["Mg", "Sc", "Ru", "Ru", "C"],
  "fractional_positions": [[0.000, 0.000, 0.000], [0.500, 0.500, 0.000], [0.000, 0.500, 0.500], [0.500, 0.000, 0.500], [0.000, 0.000, 0.500]]
}

---

Record 2
{
  "formula": "MgSc2RuC",
  "functional": "GGA-PBE",
  "state": "optimized geometry",
  "dos_ef_per_ev_cell": 1.92,
  "formation_enthalpy_0k_ev_per_atom": -0.3850,
  "cell": [[4.630, 0.000, 0.000], [0.000, 4.630, 0.000], [0.000, 0.000, 3.940]],
  "species": ["Mg", "Sc", "Sc", "Ru", "C"],
  "fractional_positions": [[0.000, 0.000, 0.000], [0.000, 0.500, 0.500], [0.500, 0.000, 0.500], [0.500, 0.500, 0.000], [0.500, 0.500, 0.500]]
}

---

Record 3
{
  "formula": "Sr2MgRuC",
  "functional": "GGA-PBE",
  "state": "optimized geometry",
  "dos_ef_per_ev_cell": 4.86,
  "formation_enthalpy_0k_ev_per_atom": 0.1395,
  "cell": [[5.583, 0.000, 0.000], [0.000, 5.583, 0.000], [0.000, 0.000, 3.944]],
  "species": ["Sr", "Sr", "Mg", "Ru", "C"],
  "fractional_positions": [[0.000, 0.500, 0.000], [0.500, 0.000, 0.000], [0.000, 0.000, 0.500], [0.500, 0.500, 0.500], [0.500, 0.500, 0.000]]
}

---

Record 4
{
  "formula": "MgTcRu2C",
  "functional": "GGA-PBE",
  "state": "optimized geometry",
  "dos_ef_per_ev_cell": 5.17,
  "formation_enthalpy_0k_ev_per_atom": 0.1122,
  "cell": [[4.086, 0.000, 0.000], [0.000, 4.086, 0.000], [0.000, 0.000, 4.081]],
  "species": ["Mg", "Tc", "Ru", "Ru", "C"],
  "fractional_positions": [[0.000, 0.000, 0.000], [0.500, 0.500, 0.000], [0.000, 0.500, 0.500], [0.500, 0.000, 0.500], [0.500, 0.500, 0.500]]
}

---

Record 5
{
  "formula": "Mg2TlRuC",
  "functional": "GGA-PBE",
  "state": "optimized geometry",
  "dos_ef_per_ev_cell": 2.09,
  "formation_enthalpy_0k_ev_per_atom": 0.1207,
  "cell": [[4.544, 0.000, 0.000], [0.000, 4.544, 0.000], [0.000, 0.000, 3.971]],
  "species": ["Mg", "Mg", "Tl", "Ru", "C"],
  "fractional_positions": [[0.000, 0.500, 0.000], [0.500, 0.000, 0.000], [0.000, 0.000, 0.500], [0.500, 0.500, 0.500], [0.500, 0.500, 0.000]]
}

---

Record 6
{
  "formula": "MgVRuC2",
  "functional": "GGA-PBE",
  "state": "optimized geometry",
  "dos_ef_per_ev_cell": 6.72,
  "formation_enthalpy_0k_ev_per_atom": 2.6222,
  "cell": [[3.926, 0.000, 0.000], [0.000, 3.926, 0.000], [0.000, 0.000, 4.615]],
  "species": ["Mg", "V", "Ru", "C", "C"],
  "fractional_positions": [[0.000, 0.000, 0.000], [0.500, 0.500, 0.500], [0.000, 0.000, 0.500], [0.000, 0.500, 0.000], [0.500, 0.000, 0.000]]
}